Compound: B10H13
Source: Alexandria via LeMat-Bulk
Functional: meta-GGA SCAN
Structure: PBEsol geometry

Lattice parameters (Å, degrees): 7.0576 14.2375 15.2193 90.00 90.00 90.07
Closest atoms and distances in Å follow each position.
Fractional positions:
1 B 0.6239 0.8431 0.9212  6 B 1.70-1.78
2 B 0.1239 0.3431 0.5788  6 B 1.70-1.78
3 B 0.3761 0.1569 0.0788  6 B 1.70-1.78
4 B 0.8761 0.6569 0.4212  6 B 1.70-1.78
5 B 0.4451 0.7653 0.9601  1 H 1.20
6 B 0.9451 0.2653 0.5399  1 H 1.20
7 B 0.5549 0.2347 0.0399  1 H 1.20
8 B 0.0549 0.7347 0.4601  1 H 1.20
9 B 0.5242 0.8581 0.0275  1 H 1.20
10 B 0.0242 0.3581 0.4725  1 H 1.20
11 B 0.4758 0.1419 0.9725  1 H 1.20
12 B 0.9758 0.6419 0.5275  1 H 1.20
13 B 0.7603 0.8936 0.0074  1 H 1.20
14 B 0.2603 0.3936 0.4926  1 H 1.20
15 B 0.2397 0.1064 0.9926  1 H 1.20
16 B 0.7397 0.6064 0.5074  1 H 1.20
17 B 0.6519 0.7217 0.9068  2 H 1.20-1.33
18 B 0.1519 0.2217 0.5932  2 H 1.20-1.33
19 B 0.3481 0.2783 0.0932  2 H 1.20-1.33
20 B 0.8481 0.7783 0.4068  2 H 1.20-1.33
21 B 0.5413 0.6607 0.9944  1 H 1.19
22 B 0.0413 0.1607 0.5056  1 H 1.19
23 B 0.4587 0.3393 0.0056  1 H 1.19
24 B 0.9587 0.8393 0.4944  1 H 1.19
25 B 0.4913 0.7474 0.0742  2 H 1.20-1.32
26 B 0.9913 0.2474 0.4258  2 H 1.20-1.32
27 B 0.5087 0.2526 0.9258  2 H 1.20-1.32
28 B 0.0087 0.7526 0.5742  2 H 1.20-1.32
29 B 0.6978 0.8314 0.1048  2 H 1.20-1.32
30 B 0.1978 0.3314 0.3952  2 H 1.20-1.32
31 B 0.3022 0.1686 0.8952  2 H 1.20-1.32
32 B 0.8022 0.6686 0.6048  2 H 1.20-1.32
33 B 0.9166 0.8136 0.0506  1 H 1.20
34 B 0.4166 0.3136 0.4494  1 H 1.20
35 B 0.0834 0.1864 0.9494  1 H 1.20
36 B 0.5834 0.6864 0.5506  1 H 1.20
37 B 0.8573 0.8051 0.9379  2 H 1.20-1.33
38 B 0.3573 0.3051 0.5621  2 H 1.20-1.33
39 B 0.1427 0.1949 0.0621  2 H 1.20-1.33
40 B 0.6427 0.6949 0.4379  2 H 1.20-1.33
41 B 0.7258 0.8966 0.7336  1 H 1.20
42 B 0.2258 0.3966 0.7664  1 H 1.20
43 B 0.2742 0.1034 0.2664  1 H 1.20
44 B 0.7742 0.6034 0.2336  1 H 1.20
45 B 0.4856 0.8620 0.7263  1 H 1.20
46 B 0.9856 0.3620 0.7737  1 H 1.20
47 B 0.5144 0.1380 0.2737  1 H 1.20
48 B 0.0144 0.6380 0.2263  1 H 1.20
49 B 0.5889 0.9285 0.6411  1 H 1.21
50 B 0.0889 0.4285 0.8589  1 H 1.21
51 B 0.4111 0.0715 0.3589  1 H 1.21
52 B 0.9111 0.5715 0.1411  1 H 1.21
53 B 0.7789 0.0008 0.6751  1 H 1.20
54 B 0.2789 0.5008 0.8249  1 H 1.20
55 B 0.2211 0.9992 0.3249  1 H 1.20
56 B 0.7211 0.4992 0.1751  1 H 1.20
57 B 0.5831 0.9046 0.8272  1 H 1.33
58 B 0.0831 0.4046 0.6728  1 H 1.33
59 B 0.4169 0.0954 0.1728  1 H 1.33
60 B 0.9169 0.5954 0.3272  1 H 1.33
61 B 0.3483 0.9316 0.7923  1 H 1.20
62 B 0.8483 0.4316 0.7077  1 H 1.20
63 B 0.6517 0.0684 0.2077  1 H 1.20
64 B 0.1517 0.5684 0.2923  1 H 1.20
65 B 0.3643 0.9592 0.6788  2 H 1.20-1.32
66 B 0.8643 0.4592 0.8212  2 H 1.20-1.32
67 B 0.6357 0.0408 0.3212  2 H 1.20-1.32
68 B 0.1357 0.5408 0.1788  2 H 1.20-1.32
69 B 0.5570 0.0498 0.6441  2 H 1.20-1.32
70 B 0.0570 0.5498 0.8559  2 H 1.20-1.32
71 B 0.4430 0.9502 0.3559  2 H 1.20-1.32
72 B 0.9430 0.4502 0.1441  2 H 1.20-1.32
73 B 0.6954 0.0972 0.7305  1 H 1.20
74 B 0.1954 0.5972 0.7695  1 H 1.20
75 B 0.3046 0.9028 0.2695  1 H 1.20
76 B 0.8046 0.4028 0.2305  1 H 1.20
77 B 0.7735 0.9992 0.7918  2 H 1.20-1.33
78 B 0.2735 0.4992 0.7082  2 H 1.20-1.33
79 B 0.2265 0.0008 0.2082  2 H 1.20-1.33
80 B 0.7265 0.5008 0.2918  2 H 1.20-1.33
81 H 0.2901 0.7666 0.9281  1 B 1.20
82 H 0.7901 0.2666 0.5719  1 B 1.20
83 H 0.7099 0.2334 0.0719  1 B 1.20
84 H 0.2099 0.7334 0.4281  1 B 1.20
85 H 0.4107 0.9166 0.0494  1 B 1.20
86 H 0.9107 0.4166 0.4506  1 B 1.20
87 H 0.5893 0.0834 0.9506  1 B 1.20
88 H 0.0893 0.5834 0.5494  1 B 1.20
89 H 0.8033 0.9750 0.0057  1 B 1.20
90 H 0.3033 0.4750 0.4943  1 B 1.20
91 H 0.1967 0.0250 0.9943  1 B 1.20
92 H 0.6967 0.5250 0.5057  1 B 1.20
93 H 0.6590 0.6857 0.8356  1 B 1.20
94 H 0.1590 0.1857 0.6645  1 B 1.20
95 H 0.3410 0.3143 0.1645  1 B 1.20
96 H 0.8410 0.8143 0.3355  1 B 1.20
97 H 0.7173 0.6558 0.9608  2 B 1.33-1.35
98 H 0.2173 0.1558 0.5392  2 B 1.33-1.35
99 H 0.2827 0.3442 0.0392  2 B 1.33-1.35
100 H 0.7827 0.8442 0.4608  2 B 1.33-1.35
101 H 0.4795 0.5826 0.9928  1 B 1.19
102 H 0.9795 0.0826 0.5072  1 B 1.19
103 H 0.5205 0.4174 0.0072  1 B 1.19
104 H 0.0205 0.9174 0.4928  1 B 1.19
105 H 0.3761 0.7319 0.1302  1 B 1.20
106 H 0.8761 0.2319 0.3698  1 B 1.20
107 H 0.6239 0.2681 0.8698  1 B 1.20
108 H 0.1239 0.7681 0.6302  1 B 1.20
109 H 0.6059 0.6739 0.0770  2 B 1.32-1.35
110 H 0.1059 0.1739 0.4230  2 B 1.32-1.35
111 H 0.3941 0.3261 0.9230  2 B 1.32-1.35
112 H 0.8941 0.8261 0.5770  2 B 1.32-1.35
113 H 0.6970 0.8626 0.1783  1 B 1.20
114 H 0.1970 0.3626 0.3217  1 B 1.20
115 H 0.3030 0.1374 0.8217  1 B 1.20
116 H 0.8030 0.6374 0.6783  1 B 1.20
117 H 0.8191 0.7609 0.1095  2 B 1.32-1.36
118 H 0.3191 0.2609 0.3905  2 B 1.32-1.36
119 H 0.1809 0.2391 0.8905  2 B 1.32-1.36
120 H 0.6809 0.7391 0.6095  2 B 1.32-1.36
121 H 0.0715 0.8237 0.0810  1 B 1.20
122 H 0.5715 0.3237 0.4190  1 B 1.20
123 H 0.9285 0.1763 0.9190  1 B 1.20
124 H 0.4285 0.6763 0.5810  1 B 1.20
125 H 0.9799 0.8153 0.8843  1 B 1.20
126 H 0.4799 0.3153 0.6157  1 B 1.20
127 H 0.0201 0.1847 0.1157  1 B 1.20
128 H 0.5201 0.6847 0.3843  1 B 1.20
129 H 0.9293 0.7422 0.9933  2 B 1.33-1.34
130 H 0.4293 0.2422 0.5067  2 B 1.33-1.34
131 H 0.0707 0.2578 0.0067  2 B 1.33-1.34
132 H 0.5707 0.7578 0.4933  2 B 1.33-1.34
133 H 0.4441 0.7814 0.7142  1 B 1.20
134 H 0.9441 0.2814 0.7858  1 B 1.20
135 H 0.5559 0.2186 0.2858  1 B 1.20
136 H 0.0559 0.7186 0.2142  1 B 1.20
137 H 0.8461 0.8370 0.7378  1 B 1.20
138 H 0.3461 0.3370 0.7622  1 B 1.20
139 H 0.1539 0.1630 0.2622  1 B 1.20
140 H 0.6539 0.6630 0.2378  1 B 1.20
141 H 0.5922 0.8956 0.5679  1 B 1.21
142 H 0.0922 0.3956 0.9321  1 B 1.21
143 H 0.4078 0.1044 0.4321  1 B 1.21
144 H 0.9078 0.6044 0.0679  1 B 1.21
145 H 0.9205 0.0060 0.6322  1 B 1.20
146 H 0.4205 0.5060 0.8678  1 B 1.20
147 H 0.0795 0.9940 0.3678  1 B 1.20
148 H 0.5795 0.4940 0.1322  1 B 1.20
149 H 0.4652 0.9737 0.8501  2 B 1.33-1.35
150 H 0.9652 0.4737 0.6499  2 B 1.33-1.35
151 H 0.5348 0.0263 0.1499  2 B 1.33-1.35
152 H 0.0348 0.5263 0.3501  2 B 1.33-1.35
153 H 0.2053 0.9156 0.8318  1 B 1.20
154 H 0.7053 0.4156 0.6682  1 B 1.20
155 H 0.7947 0.0844 0.1682  1 B 1.20
156 H 0.2947 0.5844 0.3318  1 B 1.20
157 H 0.2248 0.9560 0.6341  1 B 1.20
158 H 0.7248 0.4560 0.8659  1 B 1.20
159 H 0.7752 0.0440 0.3659  1 B 1.20
160 H 0.2752 0.5440 0.1341  1 B 1.20
161 H 0.3156 0.0115 0.7471  2 B 1.32-1.35
162 H 0.8156 0.5115 0.7529  2 B 1.32-1.35
163 H 0.6844 0.9885 0.2529  2 B 1.32-1.35
164 H 0.1844 0.4885 0.2471  2 B 1.32-1.35
165 H 0.5274 0.0956 0.5794  1 B 1.20
166 H 0.0274 0.5956 0.9206  1 B 1.20
167 H 0.4726 0.9044 0.4206  1 B 1.20
168 H 0.9726 0.4044 0.0794  1 B 1.20
169 H 0.5098 0.1054 0.7103  2 B 1.32-1.35
170 H 0.0098 0.6054 0.7897  2 B 1.32-1.35
171 H 0.4902 0.8946 0.2897  2 B 1.32-1.35
172 H 0.9902 0.3946 0.2103  2 B 1.32-1.35
173 H 0.7550 0.1757 0.7355  1 B 1.20
174 H 0.2550 0.6757 0.7645  1 B 1.20
175 H 0.2450 0.8243 0.2645  1 B 1.20
176 H 0.7450 0.3243 0.2355  1 B 1.20
177 H 0.9046 0.0081 0.8411  1 B 1.20
178 H 0.4046 0.5081 0.6589  1 B 1.20
179 H 0.0954 0.9919 0.1589  1 B 1.20
180 H 0.5954 0.4919 0.3411  1 B 1.20
181 H 0.6574 0.0692 0.8131  2 B 1.33-1.35
182 H 0.1574 0.5692 0.6869  2 B 1.33-1.35
183 H 0.3426 0.9308 0.1869  2 B 1.33-1.35
184 H 0.8426 0.4308 0.3131  2 B 1.33-1.35

Output
Crystal system: monoclinic
DFT total energy (eV/atom): -5.29
DOS(E_F) (states/eV/cell): 0.00